(a)
Below is a geometry-optimized Dy2Cu2Pd structure, with properties calculated at the PBE-GGA level. Values from VASP.

Geometry as Quantum ESPRESSO input:
```
&SYSTEM
  ibrav = 0, nat = 10, ntyp = 3
/
ATOMIC_SPECIES
Cu 63.55 Cu.upf
Dy 162.50 Dy.upf
Pd 106.42 Pd.upf
CELL_PARAMETERS angstrom
4.0048 0.0000 0.0000
2.0024 5.1109 0.0111
2.0024 0.7828 9.8832
ATOMIC_POSITIONS angstrom
Cu 6.0071 4.1033 5.4586
Cu 2.0024 1.7904 4.4358
Cu 2.0024 4.3693 1.0615
Dy 4.0048 2.1293 6.5325
Dy 6.0071 4.4427 8.7516
Pd 4.0048 0.7631 3.2068
Dy 4.0048 3.7644 3.3618
Cu 6.0071 1.5244 8.8328
Pd 4.0048 5.1306 6.6875
Dy 2.0024 1.4510 1.1427
```

Values from the calculation:
DOS at the Fermi energy: 5.47 states/eV per cell
mass density: 9.17 g/cm³
crystal system: monoclinic



(b)
Below is a geometry-optimized Dy2Cu2Pd structure, with properties calculated at the PBE-GGA level. Values from VASP.

Geometry as Quantum ESPRESSO input:
```
&SYSTEM
  ibrav = 0, nat = 20, ntyp = 3
/
ATOMIC_SPECIES
Cu 63.55 Cu.upf
Dy 162.50 Dy.upf
Pd 106.42 Pd.upf
CELL_PARAMETERS angstrom
-1.5662 -5.5749 4.2363
-2.7130 -3.5187 -5.6336
6.8703 -3.0138 -1.4261
ATOMIC_POSITIONS angstrom
Cu 2.0922 -9.3476 -0.8359
Dy -2.1305 -3.4048 -3.0680
Pd 5.1428 -2.2560 -1.0676
Cu 3.9340 -4.2668 -2.7006
Dy -3.2880 -6.6767 -1.7297
Cu 0.4988 -2.7598 -1.9875
Pd -0.4319 -5.2959 -1.0531
Dy 0.1458 -8.1865 -2.4432
Cu 0.4203 -4.6334 1.5937
Cu 3.8555 -6.1404 0.8807
Dy 2.4452 -3.9209 -0.3802
Dy -0.9913 -2.4169 0.3324
Dy 1.3043 -4.9110 -3.7842
Cu 2.1707 -7.4740 -4.4172
Pd 3.0230 -6.8115 -1.7703
Cu -1.3429 -7.8407 -0.1228
Cu -1.2644 -5.9671 -3.7041
Dy 1.2867 -7.1964 0.9608
Pd 1.7274 -0.7578 -0.3586
Dy -2.1488 -5.6888 1.6707
```

Values from the calculation:
DOS at the Fermi energy: 13.22 states/eV per cell
mass density: 9.44 g/cm³
crystal system: tetragonal



Referenced to the most stable arrangement, the calculated values in meV/atom are (a) 0; (b) 43.